[1]
VASP calculation (PBE) on an optimized crystal structure of Pm2AlGa4Ag2.

Values from the calculation:
ΔE_f ... -0.371 eV per atom
Space-group type ... I4/mmm (139)
Fermi-level density of states ... 0.534 states/eV/atom
Total moment ... 0.0 μB per formula unit

Unit cell a=6.442 b=6.442 c=6.442 alpha=90.12 beta=119.93 gamma=119.93
Atoms (fractional coordinates):
1 Ag 0.000 0.280 0.280
2 Ga 0.580 0.290 0.290
3 Pm 0.500 0.750 0.250
4 Al 0.000 0.000 0.000
5 Ga 0.000 0.710 0.290
6 Ga 0.420 0.710 0.710
7 Ag 0.000 0.720 0.720
8 Ga 0.000 0.290 0.710
9 Pm 0.500 0.250 0.750


[2]
VASP calculation (PBE) on an optimized crystal structure of U5As3.

Values from the calculation:
ΔE_f ... -0.298 eV per atom
Space-group type ... Fddd (70)
Fermi-level density of states ... 2.374 states/eV/atom
Total moment ... 3.6 μB per formula unit

Unit cell a=5.655 b=8.043 c=8.487 alpha=83.27 beta=70.54 gamma=69.42
Each line ends with the local moment (μB).
Atoms (fractional coordinates):
1 U 0.530 0.703 0.839  0.64
2 As 0.616 0.410 0.357  -0.02
3 As 0.223 0.910 0.143  -0.02
4 U 0.795 0.410 0.000  0.95
5 U 0.309 0.617 0.661  0.64
6 As 0.295 0.410 0.000  -0.02
7 U 0.663 0.117 0.161  0.64
8 As 0.545 0.910 0.500  -0.02
9 U 0.220 0.117 0.839  0.64
10 As 0.973 0.410 0.643  -0.02
11 U 0.766 0.703 0.161  0.64
12 U 0.045 0.910 0.500  0.95
13 U 0.620 0.203 0.661  0.64
14 As 0.866 0.910 0.857  -0.02
15 U 0.177 0.203 0.339  0.64
16 U 0.074 0.617 0.339  0.64


[3]
VASP calculation (PBE) on an optimized crystal structure of Li2Dy2HoIn2.

Values from the calculation:
ΔE_f ... -0.220 eV per atom
Space-group type ... R-3m (166)
Fermi-level density of states ... 0.759 states/eV/atom
Total moment ... 0.0 μB per formula unit

Unit cell a=4.837 b=4.837 c=9.233 alpha=74.81 beta=74.81 gamma=60.00
Atoms (fractional coordinates):
1 Li 0.395 0.395 0.815
2 Ho 0.000 0.000 0.000
3 In 0.263 0.263 0.212
4 In 0.737 0.737 0.788
5 Li 0.605 0.605 0.185
6 Dy 0.873 0.873 0.382
7 Dy 0.127 0.127 0.618


[4]
VASP calculation (PBE) on an optimized crystal structure of AgIrAu.

Values from the calculation:
ΔE_f ... 0.833 eV per atom
Space-group type ... F-43m (216)
E above lowest polymorph ... 53.6 kJ/mol of atoms
Fermi-level density of states ... 1.904 states/eV/atom
Total moment ... 0.9 μB per formula unit

Unit cell a=4.403 b=4.403 c=4.403 alpha=60.00 beta=60.00 gamma=60.00
Each line ends with the local moment (μB).
Atoms (fractional coordinates):
1 Ag 0.000 0.000 0.000  0.06
2 Au 0.500 0.500 0.500  0.12
3 Ir 0.750 0.750 0.750  0.71